(1)
DFT (PBE-GGA) results for crystalline HfMgSbI2 at its relaxed geometry.

Results
The relative energy among the computed polymorphs comes out at 0.0000 eV per atom.

abc: 5.6148 5.6148 5.7661
angles: 90.00 90.00 90.00
Last column: nearest neighbours and their distance in Å.
Positions (direct):
Hf  0.0000  0.0000  0.0000  4 I 2.81, 2 Sb 2.88
Mg  0.5000  0.5000  0.5000  4 Sb 3.97, 8 I 4.02
Sb  0.0000  0.0000  0.5000  2 Hf 2.88
I  0.0000  0.5000  0.0000  2 Hf 2.81
I  0.5000  0.0000  0.0000  2 Hf 2.81



(2)
DFT (PBE-GGA) results for crystalline HfMgSbI2 at its relaxed geometry.

Results
The relative energy among the computed polymorphs comes out at 0.7155 eV per atom.

abc: 6.1051 6.1051 5.6487
angles: 90.00 90.00 90.00
Last column: nearest neighbours and their distance in Å.
Positions (direct):
Hf  0.0000  0.0000  0.0000  2 Sb 2.82
Mg  0.5000  0.5000  0.0000  8 I 4.16, 4 Hf 4.32
Sb  0.0000  0.0000  0.5000  2 Hf 2.82, 4 I 3.05
I  0.0000  0.5000  0.5000  2 Sb 3.05
I  0.5000  0.0000  0.5000  2 Sb 3.05



(3)
DFT (PBE-GGA) results for crystalline HfMgSb2I at its relaxed geometry.

Results
The relative energy among the computed polymorphs comes out at 0.5717 eV per atom.

abc: 5.3068 5.3068 5.4373
angles: 90.00 90.00 90.00
Last column: nearest neighbours and their distance in Å.
Positions (direct):
Hf  0.0000  0.0000  0.0000  4 I 3.75, 8 Sb 3.80
Mg  0.5000  0.5000  0.5000  4 Sb 2.65, 2 I 2.72
Sb  0.0000  0.5000  0.5000  2 Mg 2.65
Sb  0.5000  0.0000  0.5000  2 Mg 2.65
I  0.5000  0.5000  0.0000  2 Mg 2.72



(4)
DFT (PBE-GGA) results for crystalline HfMgSb2I at its relaxed geometry.

Results
The relative energy among the computed polymorphs comes out at 0.9991 eV per atom.

abc: 5.8914 5.8914 5.2112
angles: 90.00 90.00 90.00
Last column: nearest neighbours and their distance in Å.
Positions (direct):
Hf  0.0000  0.0000  0.0000  2 I 2.61
Mg  0.5000  0.5000  0.0000  8 Sb 3.93, 4 Hf 4.17
Sb  0.0000  0.5000  0.5000  2 I 2.95
Sb  0.5000  0.0000  0.5000  2 I 2.95
I  0.0000  0.0000  0.5000  2 Hf 2.61



(5)
DFT (PBE-GGA) results for crystalline HfMgSbI2 at its relaxed geometry.

Results
The relative energy among the computed polymorphs comes out at 0.5330 eV per atom.

abc: 5.3614 5.3614 5.7500
angles: 90.00 90.00 90.00
Last column: nearest neighbours and their distance in Å.
Positions (direct):
Hf  0.0000  0.0000  0.0000  4 Sb 3.79, 8 I 3.93
Mg  0.5000  0.5000  0.5000  4 I 2.68, 2 Sb 2.87
Sb  0.5000  0.5000  0.0000  2 Mg 2.87
I  0.0000  0.5000  0.5000  2 Mg 2.68
I  0.5000  0.0000  0.5000  2 Mg 2.68



(6)
DFT (PBE-GGA) results for crystalline HfMgSb2I at its relaxed geometry.

Results
The relative energy among the computed polymorphs comes out at 0.0000 eV per atom.

abc: 5.5738 5.5738 5.6631
angles: 90.00 90.00 90.00
Last column: nearest neighbours and their distance in Å.
Positions (direct):
Hf  0.0000  0.0000  0.0000  4 Sb 2.79, 2 I 2.83
Mg  0.5000  0.5000  0.5000  4 I 3.94, 8 Sb 3.97
Sb  0.0000  0.5000  0.0000  2 Hf 2.79
Sb  0.5000  0.0000  0.0000  2 Hf 2.79
I  0.0000  0.0000  0.5000  2 Hf 2.83



(7)
DFT (PBE-GGA) results for crystalline SrHf2MgI at its relaxed geometry.

abc: 5.5020 5.5020 5.9122
angles: 90.00 90.00 90.00
Last column: nearest neighbours and their distance in Å.
Positions (direct):
Sr  0.0000  0.0000  0.0000  4 Hf 2.75, 2 I 2.96
Hf  0.0000  0.5000  0.0000  2 Sr 2.75
Hf  0.5000  0.0000  0.0000  2 Sr 2.75
Mg  0.5000  0.5000  0.5000  4 I 3.89, 8 Hf 4.04
I  0.0000  0.0000  0.5000  2 Sr 2.96



(8)
DFT (PBE-GGA) results for crystalline HfMgTeI2 at its relaxed geometry.

Results
The relative energy among the computed polymorphs comes out at 0.5320 eV per atom.

abc: 5.3823 5.3823 5.6668
angles: 90.00 90.00 90.00
Last column: nearest neighbours and their distance in Å.
Positions (direct):
Hf  0.0000  0.0000  0.0000  4 Te 3.81, 8 I 3.91
Mg  0.5000  0.5000  0.5000  4 I 2.69, 2 Te 2.83
Te  0.5000  0.5000  0.0000  2 Mg 2.83
I  0.0000  0.5000  0.5000  2 Mg 2.69
I  0.5000  0.0000  0.5000  2 Mg 2.69



| no. | uncorrected formation energy (kJ/mol of formula units) | magnetic moment (μB/atom) | VASP energy (eV per atom) |
| --- | --- | --- | --- |
| 1 | -7 | 0.000 | -3.768 |
| 2 | 338 | 0.000 | -3.053 |
| 3 | 347 | 0.001 | -3.550 |
| 4 | 553 | 0.000 | -3.122 |
| 5 | 250 | 0.159 | -3.235 |
| 6 | 71 | 0.000 | -4.121 |
| 7 | 777 | 0.000 | -3.336 |
| 8 | 149 | 0.000 | -3.249 |